1.
# CeSc2Tl3, optimized geometry, DFT PBE
# Energy = -0.333 Ry/atom
# Energy relative to the elements = -0.254 eV/atom
# Crystal system = tetragonal
# Density of states at the Fermi level = 10.0 states/eV/cell
data_CeSc2Tl3
_chemical_formula_sum 'Ce1 Sc2 Tl3'
_cell_length_a 3.493
_cell_length_b 3.493
_cell_length_c 12.380
_cell_angle_alpha 90.00
_cell_angle_beta 90.00
_cell_angle_gamma 90.00
_space_group_name_H-M_alt 'P 1'
_space_group_IT_number 1
loop_
_space_group_symop_operation_xyz
'x,y,z'
loop_
_atom_site_label
_atom_site_fract_x
_atom_site_fract_y
_atom_site_fract_z
_atom_site_occupancy
Tl1 0.000 0.000 0.685 1
Tl2 0.000 0.000 0.000 1
Tl3 0.000 0.000 0.315 1
Sc1 0.500 0.500 0.157 1
Sc2 0.500 0.500 0.843 1
Ce1 0.500 0.500 0.500 1

---

2.
# Li2PuHg2Pb, optimized geometry, DFT PBE
# Energy = -0.293 Ry/atom
# Energy relative to the elements = -0.238 eV/atom
# Crystal system = trigonal
# Density of states at the Fermi level = 14.0 states/eV/cell
data_Li2PuHg2Pb
_chemical_formula_sum 'Li2 Pu1 Hg2 Pb1'
_cell_length_a 4.989
_cell_length_b 4.989
_cell_length_c 6.469
_cell_angle_alpha 90.00
_cell_angle_beta 90.00
_cell_angle_gamma 120.00
_space_group_name_H-M_alt 'P 1'
_space_group_IT_number 1
loop_
_space_group_symop_operation_xyz
'x,y,z'
loop_
_atom_site_label
_atom_site_fract_x
_atom_site_fract_y
_atom_site_fract_z
_atom_site_occupancy
Li1 0.333 0.667 0.667 1
Li2 0.667 0.333 0.333 1
Hg1 0.667 0.333 0.795 1
Hg2 0.333 0.667 0.205 1
Pu1 0.000 0.000 0.000 1
Pb1 0.000 0.000 0.500 1

---

3.
# LaSi2AgPd5, optimized geometry, DFT PBE
# Energy = -0.406 Ry/atom
# Uncorrected formation energy = -0.566 eV per atom
# Crystal system = tetragonal
# Density of states at the Fermi level = 3.9 states/eV/cell
data_LaSi2AgPd5
_chemical_formula_sum 'La1 Si2 Ag1 Pd5'
_cell_length_a 4.191
_cell_length_b 4.191
_cell_length_c 9.022
_cell_angle_alpha 90.00
_cell_angle_beta 90.00
_cell_angle_gamma 90.00
_space_group_name_H-M_alt 'P 1'
_space_group_IT_number 1
loop_
_space_group_symop_operation_xyz
'x,y,z'
loop_
_atom_site_label
_atom_site_fract_x
_atom_site_fract_y
_atom_site_fract_z
_atom_site_occupancy
Pd1 0.500 0.000 0.745 1
Pd2 0.000 0.500 0.255 1
Pd3 0.500 0.000 0.255 1
Pd4 0.000 0.500 0.745 1
Pd5 0.500 0.500 0.500 1
Ag1 0.000 0.000 0.000 1
La1 0.000 0.000 0.500 1
Si1 0.500 0.500 0.127 1
Si2 0.500 0.500 0.873 1

---

4.
# BC2, optimized geometry, DFT PBE
# Energy = -0.592 Ry/atom
# Energy relative to the elements = 0.320 eV/atom
# Crystal system = monoclinic
# Density of states at the Fermi level = 2.1 states/eV/cell
data_BC2
_chemical_formula_sum 'B4 C8'
_cell_length_a 4.454
_cell_length_b 4.454
_cell_length_c 8.075
_cell_angle_alpha 118.31
_cell_angle_beta 118.31
_cell_angle_gamma 32.77
_space_group_name_H-M_alt 'P 1'
_space_group_IT_number 1
loop_
_space_group_symop_operation_xyz
'x,y,z'
loop_
_atom_site_label
_atom_site_fract_x
_atom_site_fract_y
_atom_site_fract_z
_atom_site_occupancy
B1 0.672 0.672 0.835 1
B2 0.168 0.168 0.205 1
B3 0.375 0.375 0.161 1
B4 0.646 0.646 0.352 1
C1 0.981 0.981 0.506 1
C2 0.504 0.504 0.869 1
C3 0.012 0.012 0.982 1
C4 0.859 0.859 0.032 1
C5 0.330 0.330 0.670 1
C6 0.163 0.163 0.692 1
C7 0.825 0.825 0.556 1
C8 0.465 0.465 0.389 1

---

5.
# Pr2Y8Tm3, optimized geometry, DFT PBE
# Energy = -0.411 Ry/atom
# Energy relative to the elements = 0.149 eV/atom
# Crystal system = monoclinic
# Density of states at the Fermi level = 41.4 states/eV/cell
data_Pr2Y8Tm3
_chemical_formula_sum 'Pr4 Y16 Tm6'
_cell_length_a 3.528
_cell_length_b 11.735
_cell_length_c 20.746
_cell_angle_alpha 90.00
_cell_angle_beta 89.97
_cell_angle_gamma 90.00
_space_group_name_H-M_alt 'P 1'
_space_group_IT_number 1
loop_
_space_group_symop_operation_xyz
'x,y,z'
loop_
_atom_site_label
_atom_site_fract_x
_atom_site_fract_y
_atom_site_fract_z
_atom_site_occupancy
Y1 0.500 0.046 0.428 1
Y2 0.500 0.871 0.286 1
Y3 0.500 0.546 0.072 1
Y4 0.500 0.454 0.928 1
Y5 0.002 0.944 0.841 1
Y6 0.000 0.792 0.447 1
Y7 0.500 0.371 0.214 1
Y8 0.500 0.629 0.786 1
Y9 0.000 0.708 0.947 1
Y10 0.998 0.444 0.659 1
Y11 0.002 0.556 0.341 1
Y12 0.500 0.954 0.572 1
Y13 0.000 0.292 0.053 1
Y14 0.998 0.056 0.159 1
Y15 0.000 0.208 0.553 1
Y16 0.500 0.129 0.714 1
Tm1 0.001 0.355 0.799 1
Tm2 0.001 0.145 0.299 1
Tm3 0.999 0.855 0.701 1
Tm4 0.999 0.645 0.201 1
Tm5 0.000 0.000 0.000 1
Tm6 0.000 0.500 0.500 1
Pr1 0.499 0.678 0.600 1
Pr2 0.501 0.178 0.900 1
Pr3 0.499 0.822 0.100 1
Pr4 0.501 0.322 0.400 1

---

6.
# Ho6C2S3Br, optimized geometry, DFT PBE
# Energy = -0.469 Ry/atom
# Uncorrected formation energy = -1.377 eV per atom
# Crystal system = monoclinic
# Density of states at the Fermi level = 2.8 states/eV/cell
data_Ho6C2S3Br
_chemical_formula_sum 'Ho6 C2 S3 Br1'
_cell_length_a 3.756
_cell_length_b 7.851
_cell_length_c 8.535
_cell_angle_alpha 101.81
_cell_angle_beta 102.71
_cell_angle_gamma 90.00
_space_group_name_H-M_alt 'P 1'
_space_group_IT_number 1
loop_
_space_group_symop_operation_xyz
'x,y,z'
loop_
_atom_site_label
_atom_site_fract_x
_atom_site_fract_y
_atom_site_fract_z
_atom_site_occupancy
C1 0.830 0.664 0.660 1
C2 0.170 0.336 0.340 1
S1 0.158 0.839 0.315 1
S2 0.500 0.500 0.000 1
S3 0.842 0.161 0.685 1
Ho1 0.679 0.134 0.359 1
Ho2 0.022 0.285 0.044 1
Ho3 0.324 0.436 0.649 1
Ho4 0.978 0.715 0.956 1
Ho5 0.321 0.866 0.641 1
Ho6 0.676 0.564 0.351 1
Br1 0.500 0.000 0.000 1

---

7.
# Ag2PCl, optimized geometry, DFT PBE
# Energy = -0.222 Ry/atom
# Uncorrected formation energy = 0.224 eV per atom
# Crystal system = orthorhombic
# Density of states at the Fermi level = 2.4 states/eV/cell
data_Ag2PCl
_chemical_formula_sum 'Ag2 P1 Cl1'
_cell_length_a 5.766
_cell_length_b 5.766
_cell_length_c 5.766
_cell_angle_alpha 146.70
_cell_angle_beta 95.25
_cell_angle_gamma 94.17
_space_group_name_H-M_alt 'P 1'
_space_group_IT_number 1
loop_
_space_group_symop_operation_xyz
'x,y,z'
loop_
_atom_site_label
_atom_site_fract_x
_atom_site_fract_y
_atom_site_fract_z
_atom_site_occupancy
Ag1 0.013 0.013 0.000 1
Ag2 0.487 0.487 0.000 1
P1 0.250 0.750 0.500 1
Cl1 0.750 0.250 0.500 1

---

8.
# KRbN, optimized geometry, DFT PBE
# Energy = -0.254 Ry/atom
# Uncorrected formation energy = 0.004 eV per atom
# Crystal system = triclinic
# Density of states at the Fermi level = 4.7 states/eV/cell
data_KRbN
_chemical_formula_sum 'K2 Rb2 N2'
_cell_length_a 4.398
_cell_length_b 8.228
_cell_length_c 8.465
_cell_angle_alpha 97.58
_cell_angle_beta 87.69
_cell_angle_gamma 82.07
_space_group_name_H-M_alt 'P 1'
_space_group_IT_number 1
loop_
_space_group_symop_operation_xyz
'x,y,z'
loop_
_atom_site_label
_atom_site_fract_x
_atom_site_fract_y
_atom_site_fract_z
_atom_site_occupancy
Rb1 0.070 0.265 0.168 1
Rb2 0.930 0.735 0.832 1
N1 0.988 0.560 0.467 1
N2 0.012 0.440 0.533 1
K1 0.562 0.241 0.649 1
K2 0.438 0.759 0.351 1